Run w
5
Lattice="6.231 0.000 0.000 0.000 6.231 0.000 0.000 0.000 6.231" Properties=species:S:1:pos:R:3 comment="K3RbF, relaxed, DFT PBE-GGA" vol_a3_per_fu=241.87 pbc="T T T"
K 0.000 0.000 3.115
K 0.000 3.115 0.000
K 3.115 0.000 0.000
Rb 3.115 3.115 3.115
F 0.000 0.000 0.000

Run x
5
Lattice="7.892 0.000 0.000 0.000 7.892 0.000 0.000 0.000 7.892" Properties=species:S:1:pos:R:3 comment="K3RbF, relaxed, DFT PBE-GGA" vol_a3_per_fu=491.50 pbc="T T T"
K 0.000 0.000 3.946
K 0.000 3.946 0.000
K 3.946 0.000 0.000
Rb 0.000 0.000 0.000
F 3.946 3.946 3.946

According to the calculations, the structures order from most to least stable as run w, run x.

Run w
5
Lattice="-2.595 2.595 7.546 2.595 -2.595 7.546 2.595 2.595 -7.546" Properties=species:S:1:pos:R:3 comment="KRb2F2, relaxed, DFT PBE-GGA" vol_a3_per_fu=203.18 pbc="T T T"
K 0.000 0.000 0.000
Rb 0.000 0.000 4.587
Rb 0.000 0.000 10.504
F 2.595 0.000 3.773
F 0.000 2.595 3.773

Run x
5
Lattice="-2.688 2.688 6.835 2.688 -2.688 6.835 2.688 2.688 -6.835" Properties=species:S:1:pos:R:3 comment="KRb2F2, relaxed, DFT PBE-GGA" vol_a3_per_fu=197.49 pbc="T T T"
K 0.000 0.000 0.000
Rb 2.688 0.000 3.418
Rb 0.000 2.688 3.418
F 0.000 0.000 2.600
F 0.000 0.000 11.071

Run y
10
Lattice="8.235 0.000 0.000 0.000 8.235 0.000 0.000 0.000 4.684" Properties=species:S:1:pos:R:3 comment="KRb2F2, relaxed, DFT PBE-GGA" vol_a3_per_fu=158.82 pbc="T T T"
K 0.000 0.000 0.000
K 4.117 4.117 0.000
Rb 1.356 2.762 2.342
Rb 2.762 6.879 2.342
Rb 5.473 1.356 2.342
Rb 6.879 5.473 2.342
F 1.797 5.915 0.000
F 2.320 1.797 0.000
F 5.915 6.437 0.000
F 6.437 2.320 0.000

According to the calculations, the structures order from most to least stable as run x, run w, run y.